1.
# VCo4Re, optimized geometry, DFT PBE
data_VCo4Re
_cell_length_a 4.253
_cell_length_b 7.879
_cell_length_c 8.494
_cell_angle_alpha 90.00
_cell_angle_beta 90.00
_cell_angle_gamma 90.00
_symmetry_space_group_name_H-M 'I m m a'
_symmetry_Int_Tables_number 74
_symmetry_space_group_name_Hall '-I 2b 2'
loop_
_atom_site_label
_atom_site_fract_x
_atom_site_fract_y
_atom_site_fract_z
_atom_site_occupancy
V1 0.000 0.250 0.127 1
Co1 0.000 0.082 0.881 1
Co2 0.000 0.085 0.372 1
Re1 0.000 0.250 0.627 1
# - VASP energy: -198.77 eV for the cell shown
# - Energy relative to the elements: 0.30 eV/f.u.
# - Volume: 11.86 A^3/atom


2.
# BaNi2Se, optimized geometry, DFT PBE
data_BaNi2Se
_cell_length_a 4.2226
_cell_length_b 4.2226
_cell_length_c 16.3169
_cell_angle_alpha 90.00
_cell_angle_beta 90.00
_cell_angle_gamma 120.00
_symmetry_space_group_name_H-M 'R -3 m'
_symmetry_Int_Tables_number 166
_symmetry_space_group_name_Hall '-R 3 2"'
loop_
_atom_site_label
_atom_site_fract_x
_atom_site_fract_y
_atom_site_fract_z
_atom_site_occupancy
Ba1 0.0000 0.0000 0.0000 1
Ni1 0.0000 0.0000 0.1883 1
Se1 0.0000 0.0000 0.5000 1
# - VASP energy: -55.37 eV for the cell shown
# - Volume: 21.00 A^3/atom
# - ΔE_f (raw): -0.371 eV/atom


3.
# ErHfNb2, optimized geometry, DFT PBE
data_ErHfNb2
_cell_length_a 3.1267
_cell_length_b 3.1267
_cell_length_c 30.5563
_cell_angle_alpha 90.00
_cell_angle_beta 90.00
_cell_angle_gamma 120.00
_symmetry_space_group_name_H-M 'R -3 m'
_symmetry_Int_Tables_number 166
_symmetry_space_group_name_Hall '-R 3 2"'
loop_
_atom_site_label
_atom_site_fract_x
_atom_site_fract_y
_atom_site_fract_z
_atom_site_occupancy
Er1 0.0000 0.0000 0.0000 1
Hf1 0.0000 0.0000 0.5000 1
Nb1 0.0000 0.0000 0.2467 1
# - VASP energy: -100.25 eV for the cell shown
# - Energy relative to the elements: 1.24 eV/f.u.
# - Volume: 21.56 A^3/atom


4.
# KEr3Ag2Se6, optimized geometry, DFT PBE
data_KEr3Ag2Se6
_cell_length_a 19.908
_cell_length_b 4.106
_cell_length_c 8.167
_cell_angle_alpha 90.00
_cell_angle_beta 107.77
_cell_angle_gamma 90.00
_symmetry_space_group_name_H-M 'C 1 2/m 1'
_symmetry_Int_Tables_number 12
loop_
_symmetry_equiv_pos_as_xyz
'x,y,z'
'-x,-y,-z'
'-x,y,-z'
'x,-y,z'
'x+1/2,y+1/2,z'
'-x+1/2,-y+1/2,-z'
'-x+1/2,y+1/2,-z'
'x+1/2,-y+1/2,z'
loop_
_atom_site_label
_atom_site_fract_x
_atom_site_fract_y
_atom_site_fract_z
_atom_site_occupancy
K1 0.000 0.000 0.000 1
Er1 0.000 0.000 0.500 1
Er2 0.172 0.500 0.815 1
Ag1 0.203 0.500 0.338 1
Se1 0.025 0.500 0.742 1
Se2 0.153 0.000 0.552 1
Se3 0.178 0.000 0.073 1
# - VASP energy: -114.92 eV for the cell shown
# - Volume: 26.49 A^3/atom
# - ΔE_f (raw): -1.339 eV/atom


5.
# SrLi2Sn2, optimized geometry, DFT PBE
data_SrLi2Sn2
_cell_length_a 8.612
_cell_length_b 8.612
_cell_length_c 3.522
_cell_angle_alpha 90.00
_cell_angle_beta 90.00
_cell_angle_gamma 90.00
_symmetry_space_group_name_H-M 'P 4/m b m'
_symmetry_Int_Tables_number 127
_symmetry_space_group_name_Hall '-P 4 2ab'
loop_
_atom_site_label
_atom_site_fract_x
_atom_site_fract_y
_atom_site_fract_z
_atom_site_occupancy
Sr1 0.000 0.000 0.000 1
Li1 0.162 0.338 0.500 1
Sn1 0.125 0.625 0.000 1
# - VASP energy: -30.12 eV for the cell shown
# - Energy relative to the elements: -1.54 eV/f.u.
# - Volume: 26.12 A^3/atom


6.
# Tm6Mg3Ni, optimized geometry, DFT PBE
data_Tm6Mg3Ni
_cell_length_a 11.352
_cell_length_b 6.997
_cell_length_c 7.163
_cell_angle_alpha 90.00
_cell_angle_beta 102.28
_cell_angle_gamma 90.00
_symmetry_space_group_name_H-M 'C 1 2/m 1'
_symmetry_Int_Tables_number 12
loop_
_symmetry_equiv_pos_as_xyz
'x,y,z'
'-x,-y,-z'
'-x,y,-z'
'x,-y,z'
'x+1/2,y+1/2,z'
'-x+1/2,-y+1/2,-z'
'-x+1/2,y+1/2,-z'
'x+1/2,-y+1/2,z'
loop_
_atom_site_label
_atom_site_fract_x
_atom_site_fract_y
_atom_site_fract_z
_atom_site_occupancy
Tm1 0.117 0.242 0.339 1
Tm2 0.156 0.000 0.859 1
Mg1 0.000 0.500 0.000 1
Mg2 0.146 0.500 0.724 1
Ni1 0.000 0.000 0.500 1
# - VASP energy: -73.83 eV for the cell shown
# - Energy relative to the elements: 0.48 eV/f.u.
# - Volume: 27.80 A^3/atom


7.
# AcEu2N, optimized geometry, DFT PBE
data_AcEu2N
_cell_length_a 3.375
_cell_length_b 3.375
_cell_length_c 9.756
_cell_angle_alpha 90.00
_cell_angle_beta 90.00
_cell_angle_gamma 90.00
_symmetry_space_group_name_H-M 'P 4/m m m'
_symmetry_Int_Tables_number 123
_symmetry_space_group_name_Hall '-P 4 2'
loop_
_atom_site_label
_atom_site_fract_x
_atom_site_fract_y
_atom_site_fract_z
_atom_site_occupancy
Ac1 0.000 0.000 0.000 1
Eu1 0.500 0.500 0.357 1
N1 0.000 0.000 0.500 1
# - VASP energy: -33.37 eV for the cell shown
# - Volume: 27.78 A^3/atom
# - ΔE_f (raw): -0.097 eV/atom


8.
# ReW, optimized geometry, DFT PBE
data_ReW
_cell_length_a 3.148
_cell_length_b 4.481
_cell_length_c 4.427
_cell_angle_alpha 90.00
_cell_angle_beta 90.00
_cell_angle_gamma 90.00
_symmetry_space_group_name_H-M 'C m m m'
_symmetry_Int_Tables_number 65
_symmetry_space_group_name_Hall '-C 2 2'
loop_
_atom_site_label
_atom_site_fract_x
_atom_site_fract_y
_atom_site_fract_z
_atom_site_occupancy
Re1 0.000 0.000 0.000 1
W1 0.000 0.500 0.500 1
# - VASP energy: -50.28 eV for the cell shown
# - Energy relative to the elements: 0.26 eV/f.u.
# - Volume: 15.61 A^3/atom


Question: What is the volume in the eighth record?
Answer: 15.61 A^3/atom


Question: Among the records above, which one has the highest volume?
Answer: Tm6Mg3Ni


Question: Which value of volume does entry 4 give?
Answer: 26.49 A^3/atom


What did the third record say?
# ErHfNb2, optimized geometry, DFT PBE
data_ErHfNb2
_cell_length_a 3.1267
_cell_length_b 3.1267
_cell_length_c 30.5563
_cell_angle_alpha 90.00
_cell_angle_beta 90.00
_cell_angle_gamma 120.00
_symmetry_space_group_name_H-M 'R -3 m'
_symmetry_Int_Tables_number 166
_symmetry_space_group_name_Hall '-R 3 2"'
loop_
_atom_site_label
_atom_site_fract_x
_atom_site_fract_y
_atom_site_fract_z
_atom_site_occupancy
Er1 0.0000 0.0000 0.0000 1
Hf1 0.0000 0.0000 0.5000 1
Nb1 0.0000 0.0000 0.2467 1
# - VASP energy: -100.25 eV for the cell shown
# - Energy relative to the elements: 1.24 eV/f.u.
# - Volume: 21.56 A^3/atom